This record from the Alexandria database describes a relaxed Mn7CrO16 crystal. The functional is PBE with a Hubbard U.

a = 5.840 Å, b = 5.837 Å, c = 8.237 Å
α = 90.00°, β = 90.17°, γ = 90.00°
Element x y z (fractional)
1 Mn 0.000 0.000 0.000
2 Mn 0.000 0.500 0.500
3 Mn 0.250 0.250 0.251
4 Mn 0.250 0.750 0.251
5 Mn 0.500 0.000 0.000
6 Mn 0.750 0.250 0.749
7 Mn 0.750 0.750 0.749
8 Cr 0.500 0.500 0.500
9 O 0.031 0.000 0.235
10 O 0.031 0.500 0.264
11 O 0.249 0.279 0.486
12 O 0.249 0.721 0.486
13 O 0.250 0.220 0.015
14 O 0.250 0.780 0.015
15 O 0.470 0.000 0.235
16 O 0.473 0.500 0.266
17 O 0.527 0.500 0.734
18 O 0.530 0.000 0.765
19 O 0.750 0.220 0.985
20 O 0.750 0.780 0.985
21 O 0.751 0.279 0.514
22 O 0.751 0.721 0.514
23 O 0.969 0.000 0.765
24 O 0.969 0.500 0.736

Calculated values
**DFT total energy**: -7.1018 eV per atom
**Symmetry**: P2/m, No. 10